Below is an optimized crystal structure of MnPO2F, with properties calculated at the PBE with a Hubbard U level.

```
MnPO2F
1.0
3.786 0.000 0.000
0.000 3.786 0.000
0.000 0.000 4.144
P Mn O F
1 1 2 1
Direct
0.000 0.000 0.000 P
0.500 0.500 0.500 Mn
0.000 0.500 0.000 O
0.500 0.000 0.000 O
0.000 0.000 0.500 F
```

Summary:
Magnetization, μB/atom: 1.03
Density, g/cm³: 3.83
Energy, eV per atom: -5.8766
Crystal system: tetragonal
Fermi-level density of states, states/eV/cell: 0.77